No. 1
Density functional theory data (PBE) for crystalline Dy4ErTh at its relaxed geometry.

Summary:
The calculation puts the theoretical density at 9.3 g cm⁻³. As for the space group: No. 12. Its calculated formation energy is 0.01 eV per atom. Its volume is 31.35 Å³/atom. As for the total energy: -5.051 eV per atom. For the total moment, the calculation gives 0.00 μB/atom. As for the polymorph energy (0 for the lowest one): 0 meV per atom.

a = 7.870 Å, b = 7.870 Å, c = 7.088 Å
α = 102.99°, β = 102.99°, γ = 26.13°
Sites, in units of the cell vectors:
Dy1 0.163 0.163 0.335
Dy2 0.165 0.165 0.829
Dy3 0.835 0.835 0.171
Dy4 0.837 0.837 0.665
Er1 0.500 0.500 0.000
Th1 0.500 0.500 0.500

=====

No. 2
Density functional theory data (PBE) for crystalline DyEr2Th at its relaxed geometry.

Summary:
The calculation puts the theoretical density at 9.7 g cm⁻³. As for the space group: No. 12. Its calculated formation energy is -0.01 eV per atom. Its volume is 31.16 Å³/atom. As for the total energy: -5.295 eV per atom. For the total moment, the calculation gives 0.00 μB/atom. As for the polymorph energy (0 for the lowest one): 0 meV per atom.

a = 3.564 Å, b = 3.564 Å, c = 11.322 Å
α = 90.01°, β = 90.01°, γ = 60.10°
Sites, in units of the cell vectors:
Dy1 0.000 0.000 0.000
Er1 0.333 0.333 0.254
Er2 0.667 0.667 0.746
Th1 0.000 0.000 0.500

=====

No. 3
Density functional theory data (PBE) for crystalline DyEr4Th2 at its relaxed geometry.

Summary:
The calculation puts the theoretical density at 9.6 g cm⁻³. As for the space group: No. 63. Its calculated formation energy is 0.18 eV per atom. Its volume is 31.95 Å³/atom. As for the total energy: -5.201 eV per atom. For the total moment, the calculation gives 0.00 μB/atom. As for the polymorph energy (0 for the lowest one): 68 meV per atom.

a = 5.572 Å, b = 5.572 Å, c = 16.630 Å
α = 90.00°, β = 90.00°, γ = 119.95°
Sites, in units of the cell vectors:
Dy1 0.001 0.999 0.750
Dy2 0.999 0.001 0.250
Er1 0.000 0.000 0.000
Er2 0.000 0.000 0.500
Er3 0.333 0.667 0.148
Er4 0.333 0.667 0.352
Er5 0.334 0.666 0.750
Er6 0.666 0.334 0.250
Er7 0.667 0.333 0.648
Er8 0.667 0.333 0.852
Th1 0.334 0.666 0.557
Th2 0.334 0.666 0.943
Th3 0.666 0.334 0.057
Th4 0.666 0.334 0.443

=====

No. 4
Density functional theory data (PBE) for crystalline Dy10Er4Th at its relaxed geometry.

Summary:
The calculation puts the theoretical density at 8.6 g cm⁻³. As for the space group: No. 87. Its calculated formation energy is 0.39 eV per atom. Its volume is 32.55 Å³/atom. As for the total energy: -4.391 eV per atom. For the total moment, the calculation gives 0.06 μB/atom.

a = 8.600 Å, b = 8.600 Å, c = 8.600 Å
α = 111.34°, β = 111.34°, γ = 105.80°
Sites, in units of the cell vectors:
Dy1 0.048 0.948 0.674
Dy2 0.052 0.726 0.100
Dy3 0.250 0.750 0.500
Dy4 0.274 0.373 0.326
Dy5 0.373 0.048 0.100
Dy6 0.627 0.952 0.900
Dy7 0.726 0.627 0.674
Dy8 0.750 0.250 0.500
Dy9 0.948 0.274 0.900
Dy10 0.952 0.052 0.326
Er1 0.165 0.570 0.735
Er2 0.430 0.165 0.595
Er3 0.570 0.835 0.405
Er4 0.835 0.430 0.265
Th1 0.500 0.500 0.000

=====

No. 5
Density functional theory data (PBE) for crystalline DyEr6Th at its relaxed geometry.

Summary:
The calculation puts the theoretical density at 9.4 g cm⁻³. As for the space group: No. 123. Its calculated formation energy is 0.03 eV per atom. Its volume is 30.88 Å³/atom. As for the total energy: -4.893 eV per atom. For the total moment, the calculation gives 0.00 μB/atom. As for the polymorph energy (0 for the lowest one): 0 meV per atom.

a = 4.992 Å, b = 4.992 Å, c = 9.914 Å
α = 90.00°, β = 90.00°, γ = 90.00°
Sites, in units of the cell vectors:
Dy1 0.000 0.000 0.000
Er1 0.000 0.500 0.252
Er2 0.000 0.500 0.748
Er3 0.500 0.000 0.252
Er4 0.500 0.000 0.748
Er5 0.500 0.500 0.000
Er6 0.500 0.500 0.500
Th1 0.000 0.000 0.500

=====

No. 6
Density functional theory data (PBE) for crystalline DyEr12Th6 at its relaxed geometry.

Summary:
The calculation puts the theoretical density at 9.7 g cm⁻³. As for the space group: No. 204. Its calculated formation energy is 0.30 eV per atom. Its volume is 32.18 Å³/atom. As for the total energy: -5.172 eV per atom. For the total moment, the calculation gives 0.00 μB/atom.

a = 9.261 Å, b = 9.261 Å, c = 9.261 Å
α = 109.47°, β = 109.47°, γ = 109.47°
Sites, in units of the cell vectors:
Dy1 0.000 0.000 0.000
Er1 0.072 0.811 0.261
Er2 0.189 0.261 0.450
Er3 0.189 0.739 0.928
Er4 0.261 0.072 0.811
Er5 0.261 0.450 0.189
Er6 0.450 0.189 0.261
Er7 0.550 0.811 0.739
Er8 0.739 0.550 0.811
Er9 0.739 0.928 0.189
Er10 0.811 0.261 0.072
Er11 0.811 0.739 0.550
Er12 0.928 0.189 0.739
Th1 0.145 0.645 0.500
Th2 0.355 0.500 0.855
Th3 0.500 0.145 0.645
Th4 0.500 0.855 0.355
Th5 0.645 0.500 0.145
Th6 0.855 0.355 0.500